# 1
Entry from Alexandria: crystalline Sc3NbO at its relaxed geometry (GGA-PBE).

Calculated values
As for the uncorrected energy: -7.896 eV/atom.

a b c (Å): 4.439 4.439 4.439
angles (deg): 90.00 90.00 90.00
Fractional coordinates of all 5 atoms:
Sc (0.000, 0.000, 0.500)
Sc (0.000, 0.500, 0.000)
Sc (0.500, 0.000, 0.000)
Nb (0.500, 0.500, 0.500)
O (0.000, 0.000, 0.000)

# 2
Entry from Alexandria: crystalline Cu2TePt at its relaxed geometry (GGA-PBE).

Calculated values
As for the uncorrected energy: -4.272 eV/atom.

a b c (Å): 3.003 3.319 7.048
angles (deg): 90.00 90.07 90.00
Fractional coordinates of all 4 atoms:
Cu (0.001, 0.000, 0.196)
Cu (0.999, 0.000, 0.804)
Te (0.000, 0.500, 0.500)
Pt (0.500, 0.500, 0.000)

# 3
Entry from Alexandria: crystalline Pm2Pr6Dy3Mg at its relaxed geometry (GGA-PBE).

Calculated values
The value obtained for the formation energy is 0.1 eV per formula unit.

a b c (Å): 6.293 6.293 11.937
angles (deg): 95.05 95.05 120.03
Fractional coordinates of all 12 atoms:
Pm (0.167, 0.833, 0.000)
Pm (0.833, 0.167, 0.000)
Pr (0.086, 0.417, 0.749)
Pr (0.252, 0.252, 0.252)
Pr (0.417, 0.086, 0.749)
Pr (0.583, 0.914, 0.251)
Pr (0.748, 0.748, 0.748)
Pr (0.914, 0.583, 0.251)
Dy (0.000, 0.000, 0.500)
Dy (0.334, 0.666, 0.500)
Dy (0.666, 0.334, 0.500)
Mg (0.500, 0.500, 0.000)

# 4
Entry from Alexandria: crystalline Hf8CuSb2 at its relaxed geometry (GGA-PBE).

Calculated values
As for the uncorrected energy: -8.536 eV/atom.

a b c (Å): 8.466 8.466 7.698
angles (deg): 90.23 90.23 25.93
Fractional coordinates of all 11 atoms:
Hf (0.028, 0.028, 0.239)
Hf (0.207, 0.207, 0.360)
Hf (0.338, 0.338, 0.945)
Hf (0.412, 0.412, 0.477)
Hf (0.588, 0.588, 0.523)
Hf (0.662, 0.662, 0.055)
Hf (0.793, 0.793, 0.640)
Hf (0.972, 0.972, 0.761)
Cu (0.500, 0.500, 0.000)
Sb (0.169, 0.169, 0.763)
Sb (0.831, 0.831, 0.237)

# 5
Entry from Alexandria: crystalline Ba2LiPtF at its relaxed geometry (GGA-PBE).

Calculated values
As for the uncorrected energy: -4.060 eV/atom.

a b c (Å): 5.523 5.523 4.154
angles (deg): 90.00 90.00 90.00
Fractional coordinates of all 5 atoms:
Ba (0.000, 0.500, 0.000)
Ba (0.500, 0.000, 0.000)
Li (0.000, 0.000, 0.500)
Pt (0.500, 0.500, 0.500)
F (0.000, 0.000, 0.000)

# 6
Entry from Alexandria: crystalline Pm4Ge2SeS at its relaxed geometry (GGA-PBE).

Calculated values
As for the uncorrected energy: -5.907 eV/atom.

a b c (Å): 7.275 4.205 7.313
angles (deg): 90.00 109.35 90.00
Fractional coordinates of all 8 atoms:
Pm (0.244, 0.000, 0.245)
Pm (0.247, 0.500, 0.753)
Pm (0.753, 0.500, 0.247)
Pm (0.756, 0.000, 0.755)
Ge (0.000, 0.500, 0.000)
Ge (0.500, 0.000, 0.000)
Se (0.500, 0.500, 0.500)
S (0.000, 0.000, 0.500)

# 7
Entry from Alexandria: crystalline NaHfOs2I at its relaxed geometry (GGA-PBE).

Calculated values
As for the uncorrected energy: -5.424 eV/atom.

a b c (Å): 4.868 4.868 6.665
angles (deg): 90.00 90.00 90.00
Fractional coordinates of all 5 atoms:
Na (0.000, 0.000, 0.000)
Hf (0.000, 0.000, 0.500)
Os (0.000, 0.500, 0.500)
Os (0.500, 0.000, 0.500)
I (0.500, 0.500, 0.000)

# 8
Entry from Alexandria: crystalline Ce6HfSe12 at its relaxed geometry (GGA-PBE).

Calculated values
As for the uncorrected energy: -6.282 eV/atom.

a b c (Å): 8.325 8.325 8.325
angles (deg): 99.10 99.10 99.10
Fractional coordinates of all 19 atoms:
Ce (0.130, 0.803, 0.635)
Ce (0.197, 0.365, 0.870)
Ce (0.365, 0.870, 0.197)
Ce (0.635, 0.130, 0.803)
Ce (0.803, 0.635, 0.130)
Ce (0.870, 0.197, 0.365)
Hf (0.500, 0.500, 0.500)
Se (0.069, 0.920, 0.322)
Se (0.080, 0.678, 0.931)
Se (0.184, 0.434, 0.531)
Se (0.322, 0.069, 0.920)
Se (0.434, 0.531, 0.184)
Se (0.469, 0.816, 0.566)
Se (0.531, 0.184, 0.434)
Se (0.566, 0.469, 0.816)
Se (0.678, 0.931, 0.080)
Se (0.816, 0.566, 0.469)
Se (0.920, 0.322, 0.069)
Se (0.931, 0.080, 0.678)

# 9
Entry from Alexandria: crystalline Ca2SiI2 at its relaxed geometry (GGA-PBE).

Calculated values
As for the uncorrected energy: -2.867 eV/atom.

a b c (Å): 9.051 9.051 3.798
angles (deg): 90.00 90.00 90.00
Fractional coordinates of all 10 atoms:
Ca (0.173, 0.327, 0.000)
Ca (0.327, 0.827, 0.000)
Ca (0.673, 0.173, 0.000)
Ca (0.827, 0.673, 0.000)
Si (0.000, 0.000, 0.500)
Si (0.500, 0.500, 0.500)
I (0.133, 0.633, 0.500)
I (0.367, 0.133, 0.500)
I (0.633, 0.867, 0.500)
I (0.867, 0.367, 0.500)

# 10
Entry from Alexandria: crystalline NaPr2Pb3Se6 at its relaxed geometry (GGA-PBE).

Calculated values
As for the uncorrected energy: -4.669 eV/atom.

a b c (Å): 9.743 9.743 8.631
angles (deg): 103.17 103.17 26.23
Fractional coordinates of all 12 atoms:
Na (0.000, 0.000, 0.000)
Pr (0.335, 0.335, 0.671)
Pr (0.665, 0.665, 0.329)
Pb (0.000, 0.000, 0.500)
Pb (0.340, 0.340, 0.151)
Pb (0.660, 0.660, 0.849)
Se (0.170, 0.170, 0.576)
Se (0.171, 0.171, 0.092)
Se (0.494, 0.494, 0.750)
Se (0.506, 0.506, 0.250)
Se (0.829, 0.829, 0.908)
Se (0.830, 0.830, 0.424)

# 11
Entry from Alexandria: crystalline Rb2SmTcO6 at its relaxed geometry (GGA-PBE).

Calculated values
As for the uncorrected energy: -6.518 eV/atom.

a b c (Å): 6.472 6.472 5.905
angles (deg): 90.00 90.00 120.00
Fractional coordinates of all 10 atoms:
Rb (0.333, 0.667, 0.109)
Rb (0.667, 0.333, 0.891)
Sm (0.000, 0.000, 0.500)
Tc (0.000, 0.000, 0.000)
O (0.135, 0.271, 0.802)
O (0.135, 0.865, 0.802)
O (0.271, 0.135, 0.198)
O (0.729, 0.865, 0.802)
O (0.865, 0.135, 0.198)
O (0.865, 0.729, 0.198)

# 12
Entry from Alexandria: crystalline GaSnI2N at its relaxed geometry (GGA-PBE).

Calculated values
As for the uncorrected energy: -3.312 eV/atom.

a b c (Å): 6.198 6.198 3.936
angles (deg): 90.00 90.00 90.00
Fractional coordinates of all 5 atoms:
Ga (0.000, 0.000, 0.000)
Sn (0.500, 0.500, 0.500)
I (0.000, 0.500, 0.500)
I (0.500, 0.000, 0.500)
N (0.500, 0.500, 0.000)